1.
DFT (GGA-PBE) results for crystalline Ba2AlZn at its relaxed geometry.

Calculated values
As for the crystal system: orthorhombic. For the calculated total energy, the calculation gives -9.335 eV/cell. The spin magnetization comes out at 0.0 Bohr magnetons per cell. The calculation puts the density of states at the Fermi level at 0.594 states/eV/atom. As for the space group: No. 44. As for the formation energy: -0.118 eV/atom.

Lattice parameters (Å, degrees): 6.8316 6.8316 5.7803 64.95 64.95 33.18
With the nearest neighbours (Å) after each atom.
Sites, in units of the cell vectors:
Ba 0.7841 0.7841 0.7156  4 Al 3.63, 4 Zn 3.63-4.04, 4 Ba 3.64-3.90
Ba 0.9725 0.9725 0.0279  4 Zn 3.59, 4 Ba 3.64-3.90, 4 Al 3.76-3.93
Zn 0.5445 0.5445 0.4555  2 Al 2.66
Al 0.1990 0.1990 0.3010  2 Zn 2.66

***

2.
DFT (GGA-PBE) results for crystalline La2PrHo at its relaxed geometry.

Calculated values
For the energy above the most stable polymorph in this dataset, the calculation gives 0.009 eV per atom. As for the crystal system: monoclinic. For the calculated total energy, the calculation gives -19.132 eV/cell. The spin magnetization comes out at 0.0 Bohr magnetons per cell. The calculation puts the density of states at the Fermi level at 1.635 states/eV/atom. As for the space group: No. 8. As for the formation energy: 0.020 eV/atom.

Lattice parameters (Å, degrees): 3.6926 3.6926 12.1578 81.21 81.21 59.97
With the nearest neighbours (Å) after each atom.
Sites, in units of the cell vectors:
Pr 0.6675 0.6675 0.9955  6 La 3.69-3.81, 6 Pr 3.69
Ho 0.4995 0.4995 0.5011  6 La 3.59-3.61, 6 Ho 3.69
La 0.0856 0.0856 0.7441  3 Ho 3.60-3.61, 3 Pr 3.69, 6 La 3.69
La 0.2475 0.2475 0.2593  3 Ho 3.59, 6 La 3.69, 3 Pr 3.80-3.81

***

3.
DFT (GGA-PBE) results for crystalline AsI at its relaxed geometry.

Calculated values
The value obtained for the raw formation energy is -0.0574 eV/atom. As for the crystal system: orthorhombic. For the calculated total energy, the calculation gives -50.515 eV/cell. The spin magnetization comes out at 0.0 Bohr magnetons per cell. As for the space group: No. 19.

Lattice parameters (Å, degrees): 8.3564 5.6557 14.2950 90.00 90.00 90.00
With the nearest neighbours (Å) after each atom.
Sites, in units of the cell vectors:
I 0.6241 0.3240 0.9363  1 As 2.64
As 0.4241 0.8635 0.8458  2 As 2.54, 1 I 2.66
I 0.1732 0.5819 0.8213  1 As 2.66
As 0.6610 0.6146 0.7931  2 As 2.54, 1 I 2.64
As 0.8390 0.3854 0.2931  2 As 2.54, 1 I 2.64
I 0.8759 0.6760 0.4363  1 As 2.64
I 0.3759 0.8240 0.5637  1 As 2.64
As 0.0759 0.1365 0.3458  2 As 2.54, 1 I 2.66
I 0.6732 0.9181 0.1787  1 As 2.66
As 0.1610 0.8854 0.2069  2 As 2.54, 1 I 2.64
I 0.1241 0.1760 0.0637  1 As 2.64
As 0.5759 0.3635 0.6542  2 As 2.54, 1 I 2.66
I 0.8268 0.0819 0.6787  1 As 2.66
As 0.3390 0.1146 0.7069  2 As 2.54, 1 I 2.64
As 0.9241 0.6365 0.1542  2 As 2.54, 1 I 2.66
I 0.3268 0.4181 0.3213  1 As 2.66

***

4.
DFT (GGA-PBE) results for crystalline UAlTc2 at its relaxed geometry.

Calculated values
For the energy above the most stable polymorph in this dataset, the calculation gives 0.765 eV per atom. As for the crystal system: trigonal. For the calculated total energy, the calculation gives -34.185 eV/cell. The spin magnetization comes out at 0.0 Bohr magnetons per cell. The calculation puts the density of states at the Fermi level at 0.736 states/eV/atom. As for the space group: No. 166. As for the formation energy: 0.394 eV/atom.

Lattice parameters (Å, degrees): 3.2717 3.2717 8.8087 79.30 79.30 60.00
With the nearest neighbours (Å) after each atom.
Sites, in units of the cell vectors:
U 0.5000 0.5000 0.5000  6 Tc 2.55
Al 0.0000 0.0000 0.0000  2 Tc 2.58
Tc 0.1001 0.1001 0.6998  3 U 2.55, 1 Al 2.58
Tc 0.8999 0.8999 0.3002  3 U 2.55, 1 Al 2.58

***

5.
DFT (GGA-PBE) results for crystalline Sm4DyMg at its relaxed geometry.

Calculated values
For the energy above the most stable polymorph in this dataset, the calculation gives 0.032 eV per atom. As for the crystal system: monoclinic. For the calculated total energy, the calculation gives -49.998 eV/cell. The spin magnetization comes out at 0.0 Bohr magnetons per cell. The calculation puts the density of states at the Fermi level at 1.289 states/eV/atom. As for the space group: No. 15. As for the formation energy: 0.012 eV/atom.

Lattice parameters (Å, degrees): 6.1717 6.1717 12.0066 104.84 104.84 60.16
With the nearest neighbours (Å) after each atom.
Sites, in units of the cell vectors:
Sm 0.5876 0.7477 0.7501  2 Dy 3.52-3.53, 7 Sm 3.53-3.58, 3 Mg 3.55-3.59
Mg 0.9164 0.0836 0.7500  10 Sm 3.50-3.59, 2 Dy 3.53
Dy 0.0000 0.5000 0.0000  10 Sm 3.52-3.61, 2 Mg 3.53
Sm 0.1624 0.6748 0.5006  7 Sm 3.48-3.62, 2 Mg 3.50-3.51, 3 Dy 3.54-3.61
Sm 0.6748 0.1624 0.0006  7 Sm 3.48-3.62, 2 Mg 3.50-3.51, 3 Dy 3.54-3.61
Dy 0.5000 0.0000 0.5000  10 Sm 3.52-3.61, 2 Mg 3.53
Sm 0.4124 0.2523 0.2499  2 Dy 3.52-3.53, 7 Sm 3.53-3.58, 3 Mg 3.55-3.59
Sm 0.3252 0.8376 0.9994  7 Sm 3.48-3.62, 2 Mg 3.50-3.51, 3 Dy 3.54-3.61
Sm 0.2523 0.4124 0.7499  2 Dy 3.52-3.53, 7 Sm 3.53-3.58, 3 Mg 3.55-3.59
Sm 0.8376 0.3252 0.4994  7 Sm 3.48-3.62, 2 Mg 3.50-3.51, 3 Dy 3.54-3.61
Mg 0.0836 0.9164 0.2500  10 Sm 3.50-3.59, 2 Dy 3.53
Sm 0.7477 0.5876 0.2501  2 Dy 3.52-3.53, 7 Sm 3.53-3.58, 3 Mg 3.55-3.59

***

6.
DFT (GGA-PBE) results for crystalline Sc2Si2Se at its relaxed geometry.

Calculated values
The value obtained for the raw formation energy is -0.8631 eV/atom. For the energy above the most stable polymorph in this dataset, the calculation gives 0.000 eV per atom. As for the crystal system: tetragonal. For the calculated total energy, the calculation gives -31.309 eV/cell. The spin magnetization comes out at 0.0 Bohr magnetons per cell. The calculation puts the density of states at the Fermi level at 0.439 states/eV/atom. As for the space group: No. 139.

Lattice parameters (Å, degrees): 3.5402 3.5402 7.8324 76.94 76.94 90.00
With the nearest neighbours (Å) after each atom.
Sites, in units of the cell vectors:
Si 0.7500 0.2500 0.5000  4 Si 2.50, 4 Sc 2.77
Sc 0.3931 0.3931 0.2137  4 Si 2.77, 4 Se 2.96
Sc 0.6069 0.6069 0.7863  4 Si 2.77, 4 Se 2.96
Si 0.2500 0.7500 0.5000  4 Si 2.50, 4 Sc 2.77
Se 0.0000 0.0000 0.0000  8 Sc 2.96